Entry 1:
{
  "formula": "CsK9Na3",
  "functional": "GGA-PBE",
  "state": "relaxed",
  "space_group": "C2/m (12)",
  "total_magnetization_mub_per_fu": 0.00,
  "formation_energy_mev_per_atom": 16,
  "cell": [[-1.238, 7.759, -1.689], [-10.153, 1.556, -4.048], [-4.257, 5.413, 8.867]],
  "species": ["K", "K", "K", "K", "K", "K", "K", "K", "K", "Cs", "Na", "Na", "Na"],
  "frac_coords": [[0.516, 0.210, 0.781], [0.296, 0.210, 0.219], [0.649, 0.342, 0.357], [0.000, 0.500, 0.000], [0.994, 0.658, 0.357], [0.704, 0.790, 0.781], [0.484, 0.790, 0.219], [0.351, 0.658, 0.643], [0.006, 0.342, 0.643], [0.000, 0.000, 0.000], [0.500, 0.000, 0.500], [0.500, 0.500, 0.000], [0.000, 0.000, 0.500]]
}

Entry 2:
{
  "formula": "CsK9Na4",
  "functional": "GGA-PBE",
  "state": "relaxed",
  "space_group": "I4/mcm (140)",
  "total_magnetization_mub_per_fu": 0.00,
  "formation_energy_mev_per_atom": 43,
  "cell": [[12.240, 0.000, -6.902], [-3.892, 11.605, -6.902], [-0.294, -0.409, 13.783]],
  "species": ["K", "K", "K", "K", "K", "K", "K", "K", "K", "K", "K", "K", "K", "K", "K", "K", "K", "K", "Na", "Na", "Na", "Na", "Na", "Na", "Na", "Na", "Cs", "Cs"],
  "frac_coords": [[0.302, 0.433, 0.000], [0.056, 0.831, 0.387], [0.698, 0.567, 0.000], [0.831, 0.331, 0.387], [0.944, 0.169, 0.613], [0.933, 0.802, 0.000], [0.433, 0.698, 0.000], [0.067, 0.198, 0.000], [0.169, 0.669, 0.613], [0.500, 0.000, 0.000], [0.802, 0.067, 0.000], [0.556, 0.056, 0.387], [0.444, 0.944, 0.613], [0.331, 0.556, 0.387], [0.567, 0.302, 0.000], [0.669, 0.444, 0.613], [0.000, 0.500, 0.000], [0.198, 0.933, 0.000], [0.226, 0.071, 0.797], [0.274, 0.774, 0.203], [0.774, 0.929, 0.203], [0.929, 0.429, 0.203], [0.571, 0.726, 0.797], [0.429, 0.274, 0.203], [0.726, 0.226, 0.797], [0.071, 0.571, 0.797], [0.750, 0.750, 0.500], [0.250, 0.250, 0.500]]
}

Entry 3:
{
  "formula": "CsKNa3",
  "functional": "GGA-PBE",
  "state": "relaxed",
  "e_above_lowest_polymorph_mev_per_atom": 167,
  "space_group": "Pm-3m (221)",
  "total_magnetization_mub_per_fu": 0.00,
  "formation_energy_mev_per_atom": 196,
  "cell": [[-3.204, 3.765, -4.963], [-4.690, -5.131, -0.865], [-4.100, 2.927, 4.868]],
  "species": ["Na", "Na", "Na", "K", "Cs"],
  "frac_coords": [[0.000, 0.500, 0.000], [0.500, 0.000, 0.000], [0.000, 0.000, 0.500], [0.000, 0.000, 0.000], [0.500, 0.500, 0.500]]
}